SrHo2Cd6, optimized geometry, DFT GGA-PBE; D(E_F) = 7.86 states/eV/f.u.; crystal system = hexagonal; energy relative to the elements = -0.29 eV/atom
1.0
3.501 0.000 0.000
0.000 7.555 -4.362
0.000 0.000 8.723
Cd Ho Sr
6 2 1
direct
0.500 0.338 0.338
0.500 0.000 0.338
0.500 0.662 0.662
0.500 0.000 0.662
0.500 0.662 0.000
0.500 0.338 0.000
0.000 0.667 0.333
0.000 0.333 0.667
0.000 0.000 0.000